[1]
Compound: TbDyNp2S4
Source: Alexandria via LeMat-Bulk
Functional: PBE
Structure: relaxed

- symmetry = P2/m
- formation energy from raw total energies (eV/atom) = -1.698
- DFT total energy (eV/atom) = -8.1511

Lattice parameters (Å, degrees): 6.762 3.913 6.791 90.00 109.46 90.00
Sites, in units of the cell vectors:
Tb 0.000 0.000 0.000
Dy 0.000 0.500 0.500
Np 0.500 0.000 0.500
Np 0.500 0.500 0.000
S 0.250 0.000 0.749
S 0.251 0.500 0.251
S 0.749 0.500 0.749
S 0.750 0.000 0.251

[2]
Compound: DyNp2Te2S2
Source: Alexandria via LeMat-Bulk
Functional: PBE
Structure: relaxed

- symmetry = I4/mmm
- formation energy from raw total energies (eV/atom) = -0.976
- DFT total energy (eV/atom) = -7.4075

Lattice parameters (Å, degrees): 5.079 5.079 15.690 90.00 90.00 90.00
Sites, in units of the cell vectors:
Dy 0.000 0.000 0.000
Dy 0.500 0.500 0.500
Np 0.000 0.000 0.388
Np 0.000 0.000 0.612
Np 0.500 0.500 0.112
Np 0.500 0.500 0.888
Te 0.000 0.000 0.189
Te 0.000 0.000 0.811
Te 0.500 0.500 0.311
Te 0.500 0.500 0.689
S 0.000 0.500 0.000
S 0.000 0.500 0.500
S 0.500 0.000 0.000
S 0.500 0.000 0.500

[3]
Compound: DyNpTeS2
Source: Alexandria via LeMat-Bulk
Functional: PBE
Structure: relaxed

- symmetry = I4mm
- formation energy from raw total energies (eV/atom) = -1.241
- DFT total energy (eV/atom) = -7.0284

Lattice parameters (Å, degrees): 4.425 4.425 13.482 90.00 90.00 90.00
Sites, in units of the cell vectors:
Dy 0.000 0.000 0.000
Dy 0.500 0.500 0.500
Np 0.000 0.000 0.275
Np 0.500 0.500 0.775
Te 0.000 0.000 0.642
Te 0.500 0.500 0.142
S 0.000 0.500 0.390
S 0.000 0.500 0.890
S 0.500 0.000 0.390
S 0.500 0.000 0.890

[4]
Compound: DyNpTl2S4
Source: Alexandria via LeMat-Bulk
Functional: PBE
Structure: relaxed

- symmetry = P2/m
- formation energy from raw total energies (eV/atom) = -1.243
- DFT total energy (eV/atom) = -6.0912

Lattice parameters (Å, degrees): 7.021 4.055 7.875 90.00 107.37 90.00
Sites, in units of the cell vectors:
Dy 0.000 0.000 0.000
Np 0.500 0.500 0.000
Tl 0.000 0.500 0.500
Tl 0.500 0.000 0.500
S 0.230 0.500 0.197
S 0.268 0.000 0.805
S 0.732 0.000 0.195
S 0.770 0.500 0.803

[5]
Compound: DyNp3Tl3S8
Source: Alexandria via LeMat-Bulk
Functional: PBE
Structure: relaxed

- symmetry = R-3m
- formation energy from raw total energies (eV/atom) = -1.212
- DFT total energy (eV/atom) = -6.7812

Lattice parameters (Å, degrees): 8.836 8.836 8.836 54.26 54.26 54.26
Sites, in units of the cell vectors:
Dy 0.000 0.000 0.000
Np 0.000 0.500 0.500
Np 0.500 0.000 0.500
Np 0.500 0.500 0.000
Tl 0.000 0.000 0.500
Tl 0.000 0.500 0.000
Tl 0.500 0.000 0.000
S 0.232 0.232 0.729
S 0.232 0.729 0.232
S 0.269 0.269 0.269
S 0.271 0.768 0.768
S 0.729 0.232 0.232
S 0.731 0.731 0.731
S 0.768 0.271 0.768
S 0.768 0.768 0.271

[6]
Compound: DyNp3Tl4S8
Source: Alexandria via LeMat-Bulk
Functional: PBE
Structure: relaxed

- symmetry = R-3m
- formation energy from raw total energies (eV/atom) = -1.136
- DFT total energy (eV/atom) = -6.5052

Lattice parameters (Å, degrees): 8.854 8.854 8.854 54.55 54.55 54.55
Sites, in units of the cell vectors:
Dy 0.000 0.000 0.000
Np 0.000 0.500 0.500
Np 0.500 0.000 0.500
Np 0.500 0.500 0.000
Tl 0.000 0.000 0.500
Tl 0.000 0.500 0.000
Tl 0.500 0.000 0.000
Tl 0.500 0.500 0.500
S 0.232 0.232 0.732
S 0.232 0.732 0.232
S 0.268 0.768 0.768
S 0.270 0.270 0.270
S 0.730 0.730 0.730
S 0.732 0.232 0.232
S 0.768 0.268 0.768
S 0.768 0.768 0.268

[7]
Compound: Dy2NpTl2S6
Source: Alexandria via LeMat-Bulk
Functional: PBE
Structure: relaxed

- symmetry = C2/m
- formation energy from raw total energies (eV/atom) = -1.427
- DFT total energy (eV/atom) = -6.1220

Lattice parameters (Å, degrees): 6.941 6.941 7.925 98.55 98.55 120.00
Sites, in units of the cell vectors:
Dy 0.167 0.833 0.000
Dy 0.833 0.167 0.000
Np 0.500 0.500 0.000
Tl 0.331 0.669 0.500
Tl 0.669 0.331 0.500
S 0.107 0.437 0.807
S 0.241 0.241 0.194
S 0.437 0.107 0.807
S 0.563 0.893 0.193
S 0.759 0.759 0.806
S 0.893 0.563 0.193

[8]
Compound: DyNp2Tl3S6
Source: Alexandria via LeMat-Bulk
Functional: PBE
Structure: relaxed

- symmetry = C2/m
- formation energy from raw total energies (eV/atom) = -1.169
- DFT total energy (eV/atom) = -6.3643

Lattice parameters (Å, degrees): 7.015 7.015 7.879 98.53 98.53 119.99
Sites, in units of the cell vectors:
Dy 0.000 0.000 0.000
Np 0.333 0.667 0.000
Np 0.667 0.333 0.000
Tl 0.167 0.833 0.500
Tl 0.500 0.500 0.500
Tl 0.833 0.167 0.500
S 0.065 0.399 0.195
S 0.269 0.269 0.805
S 0.399 0.065 0.195
S 0.601 0.935 0.805
S 0.731 0.731 0.195
S 0.935 0.601 0.805

[9]
Compound: Dy2NpTl3S6
Source: Alexandria via LeMat-Bulk
Functional: PBE
Structure: relaxed

- symmetry = C2/m
- formation energy from raw total energies (eV/atom) = -1.320
- DFT total energy (eV/atom) = -5.8202

Lattice parameters (Å, degrees): 7.018 7.018 7.871 98.55 98.55 120.00
Sites, in units of the cell vectors:
Dy 0.167 0.833 0.000
Dy 0.833 0.167 0.000
Np 0.500 0.500 0.000
Tl 0.000 0.000 0.500
Tl 0.333 0.667 0.500
Tl 0.667 0.333 0.500
S 0.098 0.434 0.803
S 0.230 0.230 0.197
S 0.434 0.098 0.803
S 0.566 0.902 0.197
S 0.770 0.770 0.803
S 0.902 0.566 0.197

[10]
Compound: DyNpU2S4
Source: Alexandria via LeMat-Bulk
Functional: PBE
Structure: relaxed

- symmetry = P2/m
- formation energy from raw total energies (eV/atom) = -1.510
- DFT total energy (eV/atom) = -8.5882

Lattice parameters (Å, degrees): 6.690 3.820 6.835 90.00 108.59 90.00
Sites, in units of the cell vectors:
Dy 0.000 0.000 0.000
Np 0.000 0.500 0.500
U 0.500 0.000 0.500
U 0.500 0.500 0.000
S 0.249 0.000 0.751
S 0.249 0.500 0.248
S 0.751 0.000 0.249
S 0.751 0.500 0.752

[11]
Compound: DyNp2US4
Source: Alexandria via LeMat-Bulk
Functional: PBE
Structure: relaxed

- symmetry = P2/m
- formation energy from raw total energies (eV/atom) = -1.520
- DFT total energy (eV/atom) = -8.8056

Lattice parameters (Å, degrees): 6.666 3.863 6.843 90.00 109.15 90.00
Sites, in units of the cell vectors:
Dy 0.000 0.000 0.000
Np 0.500 0.000 0.500
Np 0.500 0.500 0.000
U 0.000 0.500 0.500
S 0.248 0.500 0.250
S 0.249 0.000 0.751
S 0.751 0.000 0.249
S 0.752 0.500 0.750

[12]
Compound: DyY2NpS6
Source: Alexandria via LeMat-Bulk
Functional: PBE
Structure: relaxed

- symmetry = R3
- formation energy from raw total energies (eV/atom) = -1.849
- DFT total energy (eV/atom) = -7.3730

Lattice parameters (Å, degrees): 7.396 7.396 7.396 55.98 55.98 55.98
Sites, in units of the cell vectors:
Dy 0.000 0.000 0.000
Y 0.301 0.301 0.301
Y 0.799 0.799 0.799
Np 0.501 0.501 0.501
S 0.097 0.400 0.701
S 0.195 0.907 0.598
S 0.400 0.701 0.097
S 0.598 0.195 0.907
S 0.701 0.097 0.400
S 0.907 0.598 0.195

[13]
Compound: Dy2YNpS4
Source: Alexandria via LeMat-Bulk
Functional: PBE
Structure: relaxed

- symmetry = P2/m
- formation energy from raw total energies (eV/atom) = -1.845
- DFT total energy (eV/atom) = -7.4850

Lattice parameters (Å, degrees): 6.774 3.905 6.776 90.00 109.33 90.00
Sites, in units of the cell vectors:
Dy 0.000 0.000 0.000
Dy 0.000 0.500 0.500
Y 0.500 0.000 0.500
Np 0.500 0.500 0.000
S 0.249 0.000 0.750
S 0.249 0.500 0.250
S 0.751 0.000 0.250
S 0.751 0.500 0.750

[14]
Compound: DyZrNp2S4
Source: Alexandria via LeMat-Bulk
Functional: PBE
Structure: relaxed

- symmetry = P2/m
- formation energy from raw total energies (eV/atom) = -1.540
- DFT total energy (eV/atom) = -8.4823

Lattice parameters (Å, degrees): 6.545 3.871 6.762 90.00 109.84 90.00
Sites, in units of the cell vectors:
Dy 0.000 0.000 0.000
Zr 0.000 0.500 0.500
Np 0.500 0.000 0.500
Np 0.500 0.500 0.000
S 0.243 0.000 0.744
S 0.246 0.500 0.255
S 0.754 0.500 0.745
S 0.757 0.000 0.256

[15]
Compound: DyNp4Sb5
Source: Alexandria via LeMat-Bulk
Functional: PBE
Structure: relaxed

- symmetry = Immm
- formation energy from raw total energies (eV/atom) = -0.355
- DFT total energy (eV/atom) = -8.0530

Lattice parameters (Å, degrees): 11.720 11.720 11.720 158.62 149.27 37.75
Sites, in units of the cell vectors:
Dy 0.000 0.000 0.000
Np 0.200 0.200 0.000
Np 0.401 0.401 0.000
Np 0.599 0.599 0.000
Np 0.800 0.800 0.000
Sb 0.100 0.600 0.500
Sb 0.301 0.801 0.500
Sb 0.500 0.000 0.500
Sb 0.699 0.199 0.500
Sb 0.900 0.400 0.500

[16]
Compound: Dy5NpSb6
Source: Alexandria via LeMat-Bulk
Functional: PBE
Structure: relaxed

- symmetry = C2/m
- formation energy from raw total energies (eV/atom) = -0.971
- DFT total energy (eV/atom) = -6.0278

Lattice parameters (Å, degrees): 7.601 7.601 7.603 99.59 99.59 120.00
Sites, in units of the cell vectors:
Dy 0.000 0.000 0.000
Dy 0.167 0.833 0.500
Dy 0.333 0.667 0.000
Dy 0.667 0.333 0.000
Dy 0.833 0.167 0.500
Np 0.500 0.500 0.500
Sb 0.083 0.416 0.249
Sb 0.250 0.250 0.749
Sb 0.416 0.083 0.249
Sb 0.584 0.917 0.751
Sb 0.750 0.750 0.251
Sb 0.917 0.584 0.751

[17]
Compound: Dy3NpSb4
Source: Alexandria via LeMat-Bulk
Functional: PBE
Structure: relaxed

- symmetry = P2/c
- formation energy from raw total energies (eV/atom) = -0.891
- DFT total energy (eV/atom) = -6.2955

Lattice parameters (Å, degrees): 7.601 8.787 7.598 90.00 109.50 90.00
Sites, in units of the cell vectors:
Dy 0.000 0.124 0.250
Dy 0.000 0.374 0.750
Dy 0.000 0.626 0.250
Dy 0.000 0.876 0.750
Dy 0.500 0.124 0.750
Dy 0.500 0.876 0.250
Np 0.500 0.374 0.250
Np 0.500 0.626 0.750
Sb 0.250 0.125 0.001
Sb 0.250 0.375 0.499
Sb 0.250 0.625 0.999
Sb 0.250 0.875 0.501
Sb 0.750 0.125 0.499
Sb 0.750 0.375 0.001
Sb 0.750 0.625 0.501
Sb 0.750 0.875 0.999

[18]
Compound: DyNp3Sb4
Source: Alexandria via LeMat-Bulk
Functional: PBE
Structure: relaxed

- symmetry = Cmmm
- formation energy from raw total energies (eV/atom) = -0.423
- DFT total energy (eV/atom) = -7.9125

Lattice parameters (Å, degrees): 8.808 12.422 4.383 90.00 90.00 90.00
Sites, in units of the cell vectors:
Dy 0.000 0.000 0.000
Dy 0.500 0.500 0.000
Np 0.000 0.500 0.000
Np 0.250 0.250 0.500
Np 0.250 0.750 0.500
Np 0.500 0.000 0.000
Np 0.750 0.250 0.500
Np 0.750 0.750 0.500
Sb 0.000 0.249 0.000
Sb 0.000 0.751 0.000
Sb 0.250 0.000 0.500
Sb 0.250 0.500 0.500
Sb 0.500 0.251 0.000
Sb 0.500 0.749 0.000
Sb 0.750 0.000 0.500
Sb 0.750 0.500 0.500

[19]
Compound: SmDyNp2Sb4
Source: Alexandria via LeMat-Bulk
Functional: PBE
Structure: relaxed

- symmetry = P2/m
- formation energy from raw total energies (eV/atom) = -0.666
- DFT total energy (eV/atom) = -7.1280

Lattice parameters (Å, degrees): 7.616 4.402 7.683 90.00 109.32 90.00
Sites, in units of the cell vectors:
Sm 0.000 0.000 0.000
Dy 0.500 0.500 0.000
Np 0.000 0.500 0.500
Np 0.500 0.000 0.500
Sb 0.252 0.000 0.749
Sb 0.254 0.500 0.253
Sb 0.746 0.500 0.747
Sb 0.748 0.000 0.251

[20]
Compound: DyThNp2Sb4
Source: Alexandria via LeMat-Bulk
Functional: PBE
Structure: relaxed

- symmetry = P2/m
- formation energy from raw total energies (eV/atom) = -0.617
- DFT total energy (eV/atom) = -7.4157

Lattice parameters (Å, degrees): 7.663 4.430 7.682 90.00 109.43 90.00
Sites, in units of the cell vectors:
Dy 0.000 0.000 0.000
Th 0.500 0.500 0.000
Np 0.000 0.500 0.500
Np 0.500 0.000 0.500
Sb 0.244 0.000 0.745
Sb 0.246 0.500 0.252
Sb 0.754 0.500 0.748
Sb 0.756 0.000 0.255

[21]
Compound: Dy2TmNpSb4
Source: Alexandria via LeMat-Bulk
Functional: PBE
Structure: relaxed

- symmetry = P2/m
- formation energy from raw total energies (eV/atom) = -0.872
- DFT total energy (eV/atom) = -6.2599

Lattice parameters (Å, degrees): 7.577 4.375 7.584 90.00 109.32 90.00
Sites, in units of the cell vectors:
Dy 0.000 0.000 0.000
Dy 0.500 0.500 0.000
Tm 0.000 0.500 0.500
Np 0.500 0.000 0.500
Sb 0.248 0.000 0.748
Sb 0.248 0.500 0.250
Sb 0.752 0.000 0.252
Sb 0.752 0.500 0.750

[22]
Compound: DyTmNp2Sb4
Source: Alexandria via LeMat-Bulk
Functional: PBE
Structure: relaxed

- symmetry = P2/m
- formation energy from raw total energies (eV/atom) = -0.640
- DFT total energy (eV/atom) = -7.0710

Lattice parameters (Å, degrees): 7.563 4.370 7.616 90.00 109.34 90.00
Sites, in units of the cell vectors:
Dy 0.000 0.000 0.000
Tm 0.500 0.500 0.000
Np 0.000 0.500 0.500
Np 0.500 0.000 0.500
Sb 0.251 0.500 0.248
Sb 0.253 0.000 0.753
Sb 0.747 0.000 0.247
Sb 0.749 0.500 0.752

[23]
Compound: DyNp2ScSe4
Source: Alexandria via LeMat-Bulk
Functional: PBE
Structure: relaxed

- symmetry = P2/m
- formation energy from raw total energies (eV/atom) = -1.370
- DFT total energy (eV/atom) = -7.7144

Lattice parameters (Å, degrees): 6.977 4.022 7.039 90.00 109.20 90.00
Sites, in units of the cell vectors:
Dy 0.000 0.000 0.000
Np 0.000 0.500 0.500
Np 0.500 0.000 0.500
Sc 0.500 0.500 0.000
Se 0.254 0.500 0.242
Se 0.261 0.000 0.763
Se 0.739 0.000 0.237
Se 0.746 0.500 0.758